(1)
Sc2AgBr | GGA-PBE | optimized geometry

It has space group Pmm2 (No. 25), with a = 3.933 Å, b = 3.953 Å, c = 5.715 Å, α = 90.00°, β = 90.00° and γ = 90.00°. Symmetry generates all atoms from Sc at (0.000, 0.000, 0.000), Sc at (0.500, 0.500, 0.484), Ag at (0.000, 0.000, 0.498) and Br at (0.500, 0.500, 0.983).

The calculation puts the raw total energy at -0.346 Ry per atom. The calculation puts the distance to the lowest polymorph of the same formula at 0.26 eV per formula unit. The spin magnetization comes out at 0.0 μB/cell. For the uncorrected formation energy, the calculation gives -161 kJ/mol of formula units.

***

(2)
ScAgBr4 | GGA-PBE | optimized geometry

It has space group F-43m (No. 216), with a = 8.761 Å, b = 8.761 Å, c = 8.761 Å, α = 90.00°, β = 90.00° and γ = 90.00°. Symmetry generates all atoms from Sc at (0.000, 0.000, 0.000), Ag at (0.250, 0.250, 0.750) and Br at (0.125, 0.125, 0.375).

The calculation puts the raw total energy at -0.166 Ry per atom. The calculation puts the distance to the lowest polymorph of the same formula at 9.70 eV per formula unit. The spin magnetization comes out at 4.3 μB/cell. For the uncorrected formation energy, the calculation gives 227 kJ/mol of formula units.

***

(3)
Sc2AgBr | GGA-PBE | optimized geometry

It has space group Fm-3m (No. 225), with a = 6.987 Å, b = 6.987 Å, c = 6.987 Å, α = 90.00°, β = 90.00° and γ = 90.00°. Symmetry generates all atoms from Sc at (0.250, 0.250, 0.250), Ag at (0.000, 0.000, 0.000) and Br at (0.000, 0.000, 0.500).

The calculation puts the raw total energy at -0.333 Ry per atom. The calculation puts the distance to the lowest polymorph of the same formula at 1.02 eV per formula unit. The spin magnetization comes out at 3.1 μB/cell. For the uncorrected formation energy, the calculation gives -88 kJ/mol of formula units.

***

(4)
ScAgBr2 | GGA-PBE | optimized geometry

It has space group R3m (No. 160, hexagonal axes), with a = 3.8865 Å, b = 3.8865 Å, c = 25.3057 Å, α = 90.00°, β = 90.00° and γ = 120.00°. Symmetry generates all atoms from Sc at (0.0000, 0.0000, 0.0000), Ag at (0.0000, 0.0000, 0.7341), Br at (0.0000, 0.0000, 0.2681) and Br at (0.0000, 0.0000, 0.4646).

The calculation puts the raw total energy at -0.288 Ry per atom. The calculation puts the distance to the lowest polymorph of the same formula at 0.33 eV per formula unit. The spin magnetization comes out at 0.0 μB/cell. For the uncorrected formation energy, the calculation gives -303 kJ/mol of formula units.

***

(5)
ScAgBr2 | GGA-PBE | optimized geometry

It has space group Cm (No. 8), with a = 12.529 Å, b = 3.478 Å, c = 7.528 Å, α = 90.00°, β = 124.82° and γ = 90.00°. Symmetry generates all atoms from Sc at (0.000, 0.000, 0.000), Ag at (0.290, 0.000, 0.892), Br at (0.026, 0.500, 0.754) and Br at (0.141, 0.500, 0.319).

The calculation puts the raw total energy at -0.294 Ry per atom. The calculation puts the distance to the lowest polymorph of the same formula at 0.00 eV per formula unit. The spin magnetization comes out at 0.0 μB/cell. For the uncorrected formation energy, the calculation gives -336 kJ/mol of formula units.

***

(6)
ScAgBr3 | GGA-PBE | optimized geometry

It has space group Pm-3m (No. 221), with a = 5.315 Å, b = 5.315 Å, c = 5.315 Å, α = 90.00°, β = 90.00° and γ = 90.00°. Symmetry generates all atoms from Sc at (0.000, 0.000, 0.000), Ag at (0.500, 0.500, 0.500) and Br at (0.000, 0.000, 0.500).

The calculation puts the raw total energy at -0.269 Ry per atom. The calculation puts the distance to the lowest polymorph of the same formula at 0.00 eV per formula unit. The spin magnetization comes out at 0.6 μB/cell. For the uncorrected formation energy, the calculation gives -395 kJ/mol of formula units.

***

(7)
Sc2AgBr | GGA-PBE | optimized geometry

It has space group I-42d (No. 122), with a = 7.409 Å, b = 7.409 Å, c = 6.805 Å, α = 90.00°, β = 90.00° and γ = 90.00°. Symmetry generates all atoms from Sc at (0.240, 0.250, 0.125), Ag at (0.000, 0.000, 0.500) and Br at (0.000, 0.000, 0.000).

The calculation puts the raw total energy at -0.331 Ry per atom. The calculation puts the distance to the lowest polymorph of the same formula at 1.08 eV per formula unit. The spin magnetization comes out at 4.3 μB/cell. For the uncorrected formation energy, the calculation gives -82 kJ/mol of formula units.

***

(8)
ScAgBr2 | GGA-PBE | optimized geometry

It has space group P4mm (No. 99), with a = 3.580 Å, b = 3.580 Å, c = 8.213 Å, α = 90.00°, β = 90.00° and γ = 90.00°. Symmetry generates all atoms from Sc at (0.000, 0.000, 0.000), Ag at (0.500, 0.500, 0.186), Br at (0.000, 0.000, 0.350) and Br at (0.500, 0.500, 0.781).

The calculation puts the raw total energy at -0.279 Ry per atom. The calculation puts the distance to the lowest polymorph of the same formula at 0.81 eV per formula unit. The spin magnetization comes out at 0.0 μB/cell. For the uncorrected formation energy, the calculation gives -258 kJ/mol of formula units.

***

(9)
Sc3AgBr | GGA-PBE | optimized geometry

It has space group Pm-3m (No. 221), with a = 4.946 Å, b = 4.946 Å, c = 4.946 Å, α = 90.00°, β = 90.00° and γ = 90.00°. Symmetry generates all atoms from Sc at (0.000, 0.000, 0.500), Ag at (0.500, 0.500, 0.500) and Br at (0.000, 0.000, 0.000).

The calculation puts the raw total energy at -0.346 Ry per atom. The calculation puts the distance to the lowest polymorph of the same formula at 0.00 eV per formula unit. The spin magnetization comes out at 0.0 μB/cell. For the uncorrected formation energy, the calculation gives 1 kJ/mol of formula units.

***

(10)
Sc2AgBr | GGA-PBE | optimized geometry

It has space group Imm2 (No. 44), with a = 3.401 Å, b = 3.672 Å, c = 14.724 Å, α = 90.00°, β = 90.00° and γ = 90.00°. Symmetry generates all atoms from Sc at (0.000, 0.000, 0.000), Sc at (0.000, 0.500, 0.271), Ag at (0.000, 0.000, 0.415) and Br at (0.000, 0.500, 0.666).

The calculation puts the raw total energy at -0.344 Ry per atom. The calculation puts the distance to the lowest polymorph of the same formula at 0.38 eV per formula unit. The spin magnetization comes out at 0.0 μB/cell. For the uncorrected formation energy, the calculation gives -150 kJ/mol of formula units.

***

(11)
Sc2AgBr | GGA-PBE | optimized geometry

It has space group I4/mmm (No. 139), with a = 4.690 Å, b = 4.690 Å, c = 7.785 Å, α = 90.00°, β = 90.00° and γ = 90.00°. Symmetry generates all atoms from Sc at (0.000, 0.500, 0.250), Ag at (0.000, 0.000, 0.000) and Br at (0.000, 0.000, 0.500).

The calculation puts the raw total energy at -0.333 Ry per atom. The calculation puts the distance to the lowest polymorph of the same formula at 0.99 eV per formula unit. The spin magnetization comes out at 1.8 μB/cell. For the uncorrected formation energy, the calculation gives -91 kJ/mol of formula units.

***

(12)
ScAg2Br6 | GGA-PBE | optimized geometry

It has space group C2/c (No. 15), with a = 14.815 Å, b = 13.703 Å, c = 6.775 Å, α = 90.00°, β = 102.61° and γ = 90.00°. Symmetry generates all atoms from Sc at (0.000, 0.078, 0.250), Ag at (0.237, 0.404, 0.455), Br at (0.100, 0.069, 0.967), Br at (0.117, 0.209, 0.443) and Br at (0.136, 0.499, 0.160).

The calculation puts the raw total energy at -0.243 Ry per atom. The spin magnetization comes out at 0.0 μB/cell. For the uncorrected formation energy, the calculation gives -741 kJ/mol of formula units.

***

- Number 8 is which compound?
  ScAgBr2

***

Copy entry 11 word for word.
Sc2AgBr | GGA-PBE | optimized geometry

It has space group I4/mmm (No. 139), with a = 4.690 Å, b = 4.690 Å, c = 7.785 Å, α = 90.00°, β = 90.00° and γ = 90.00°. Symmetry generates all atoms from Sc at (0.000, 0.500, 0.250), Ag at (0.000, 0.000, 0.000) and Br at (0.000, 0.000, 0.500).

The calculation puts the raw total energy at -0.333 Ry per atom. The calculation puts the distance to the lowest polymorph of the same formula at 0.99 eV per formula unit. The spin magnetization comes out at 1.8 μB/cell. For the uncorrected formation energy, the calculation gives -91 kJ/mol of formula units.

***

- Number 2 is which compound?
  ScAgBr4